1.
Density functional theory data (GGA-PBE) for a relaxed LaPtSe2O8 crystal.

## Properties
Formation energy from raw total energies = -1.082 eV/atom
Energy = -70.59 eV per cell
D(E_F) = 3.91 states/eV per cell
Space group = P-3m1, No. 164

Unit cell a=5.954 b=5.954 c=6.600 alpha=90.00 beta=90.00 gamma=120.00
Atoms (fractional coordinates):
La 0.000 0.000 0.000
Pt 0.000 0.000 0.500
Se 0.333 0.667 0.295
Se 0.667 0.333 0.705
O 0.146 0.292 0.296
O 0.146 0.854 0.296
O 0.292 0.146 0.704
O 0.333 0.667 0.043
O 0.667 0.333 0.957
O 0.708 0.854 0.296
O 0.854 0.146 0.704
O 0.854 0.708 0.704

2.
Density functional theory data (GGA-PBE) for a relaxed SrGaTe3 crystal.

## Properties
Energy above the most stable polymorph in this dataset = 410 kJ/mol of formula units
Formation energy from raw total energies = 0.099 eV/atom
Energy = -13.64 eV per cell
D(E_F) = 8.48 states/eV per cell
Space group = Pm-3m, No. 221

Unit cell a=6.174 b=6.174 c=6.174 alpha=90.00 beta=90.00 gamma=90.00
Atoms (fractional coordinates):
Sr 0.000 0.000 0.000
Ga 0.500 0.500 0.500
Te 0.000 0.000 0.500
Te 0.000 0.500 0.000
Te 0.500 0.000 0.000

3.
Density functional theory data (GGA-PBE) for a relaxed HfCuRh3 crystal.

## Properties
Energy above the most stable polymorph in this dataset = 294 kJ/mol of formula units
Energy = -33.58 eV per cell
Energy relative to the elements = 2.5 eV/f.u.
D(E_F) = 7.98 states/eV per cell
Space group = Pm-3m, No. 221

Unit cell a=4.443 b=4.443 c=4.443 alpha=90.00 beta=90.00 gamma=90.00
Atoms (fractional coordinates):
Hf 0.000 0.000 0.000
Cu 0.500 0.500 0.500
Rh 0.000 0.500 0.500
Rh 0.500 0.000 0.500
Rh 0.500 0.500 0.000

4.
Density functional theory data (GGA-PBE) for a relaxed KZrSc2 crystal.

## Properties
Energy above the most stable polymorph in this dataset = 183 kJ/mol of formula units
Energy = -19.23 eV per cell
Energy relative to the elements = 3.1 eV/f.u.
D(E_F) = 4.88 states/eV per cell
Space group = Fm-3m, No. 225

Unit cell a=5.399 b=5.399 c=5.399 alpha=60.00 beta=60.00 gamma=60.00
Atoms (fractional coordinates):
K 0.000 0.000 0.000
Zr 0.500 0.500 0.500
Sc 0.250 0.250 0.250
Sc 0.750 0.750 0.750

5.
Density functional theory data (GGA-PBE) for a relaxed HfIn2SiAu crystal.

## Properties
Formation energy from raw total energies = 0.682 eV/atom
Energy = -20.72 eV per cell
D(E_F) = 2.88 states/eV per cell
Space group = P4/mmm, No. 123

Unit cell a=5.069 b=5.069 c=5.328 alpha=90.00 beta=90.00 gamma=90.00
Atoms (fractional coordinates):
Hf 0.000 0.000 0.000
In 0.000 0.500 0.500
In 0.500 0.000 0.500
Si 0.500 0.500 0.000
Au 0.000 0.000 0.500

6.
Density functional theory data (GGA-PBE) for a relaxed LaSm6Y2Tm crystal.

## Properties
Energy = -98.89 eV per cell
Energy relative to the elements = 1.2 eV/f.u.
D(E_F) = 28.72 states/eV per cell
Space group = C2/c, No. 15

Unit cell a=8.899 b=8.899 c=9.509 alpha=92.61 beta=92.61 gamma=115.53
Atoms (fractional coordinates):
La 0.040 0.960 0.750
La 0.960 0.040 0.250
Sm 0.001 0.551 0.682
Sm 0.113 0.760 0.060
Sm 0.240 0.887 0.440
Sm 0.294 0.526 0.886
Sm 0.449 0.999 0.818
Sm 0.474 0.706 0.614
Sm 0.526 0.294 0.386
Sm 0.551 0.001 0.182
Sm 0.706 0.474 0.114
Sm 0.760 0.113 0.560
Sm 0.887 0.240 0.940
Sm 0.999 0.449 0.318
Y 0.206 0.301 0.555
Y 0.301 0.206 0.055
Y 0.699 0.794 0.945
Y 0.794 0.699 0.445
Tm 0.411 0.589 0.250
Tm 0.589 0.411 0.750

7.
Density functional theory data (GGA-PBE) for a relaxed Zn2Ge2Pt crystal.

## Properties
Energy above the most stable polymorph in this dataset = 44 kJ/mol of formula units
Energy = -34.94 eV per cell
Energy relative to the elements = 0.4 eV/f.u.
D(E_F) = 3.49 states/eV per cell
Space group = P4/mbm, No. 127

Unit cell a=6.688 b=6.688 c=3.836 alpha=90.00 beta=90.00 gamma=90.00
Atoms (fractional coordinates):
Zn 0.136 0.364 0.000
Zn 0.364 0.864 0.000
Zn 0.636 0.136 0.000
Zn 0.864 0.636 0.000
Ge 0.171 0.671 0.500
Ge 0.329 0.171 0.500
Ge 0.671 0.829 0.500
Ge 0.829 0.329 0.500
Pt 0.000 0.000 0.000
Pt 0.500 0.500 0.000

8.
Density functional theory data (GGA-PBE) for a relaxed Dy7Y2In2 crystal.

## Properties
Energy = -52.13 eV per cell
Energy relative to the elements = -1.5 eV/f.u.
D(E_F) = 11.57 states/eV per cell
Space group = C2/m, No. 12

Unit cell a=6.518 b=6.518 c=8.436 alpha=102.39 beta=102.39 gamma=97.77
Atoms (fractional coordinates):
Dy 0.000 0.000 0.000
Dy 0.122 0.480 0.828
Dy 0.141 0.141 0.418
Dy 0.480 0.122 0.828
Dy 0.520 0.878 0.172
Dy 0.859 0.859 0.582
Dy 0.878 0.520 0.172
Y 0.316 0.684 0.500
Y 0.684 0.316 0.500
In 0.377 0.377 0.173
In 0.623 0.623 0.827

9.
Density functional theory data (GGA-PBE) for a relaxed Ce2BN2 crystal.

## Properties
Formation energy from raw total energies = -0.781 eV/atom
Energy = -78.20 eV per cell
D(E_F) = 6.72 states/eV per cell
Space group = Cmc2_1, No. 36

Unit cell a=7.032 b=7.032 c=6.743 alpha=90.00 beta=90.00 gamma=155.19
Atoms (fractional coordinates):
Ce 0.034 0.966 0.500
Ce 0.219 0.781 0.120
Ce 0.781 0.219 0.620
Ce 0.966 0.034 0.000
B 0.389 0.611 0.333
B 0.611 0.389 0.833
N 0.150 0.850 0.773
N 0.363 0.637 0.844
N 0.637 0.363 0.344
N 0.850 0.150 0.273

10.
Density functional theory data (GGA-PBE) for a relaxed CaMgPt2 crystal.

## Properties
Energy = -18.09 eV per cell
Energy relative to the elements = -2.4 eV/f.u.
D(E_F) = 1.22 states/eV per cell
Space group = Pmm2, No. 25

Unit cell a=2.987 b=4.429 c=5.724 alpha=90.00 beta=90.00 gamma=90.00
Atoms (fractional coordinates):
Ca 0.000 0.000 0.000
Mg 0.500 0.500 0.349
Pt 0.000 0.000 0.494
Pt 0.500 0.500 0.819

11.
Density functional theory data (GGA-PBE) for a relaxed KCr2IrRh crystal.

## Properties
Energy = -31.71 eV per cell
Energy relative to the elements = 4.9 eV/f.u.
D(E_F) = 5.68 states/eV per cell
Space group = P4/mmm, No. 123

Unit cell a=4.934 b=4.934 c=4.873 alpha=90.00 beta=90.00 gamma=90.00
Atoms (fractional coordinates):
K 0.000 0.000 0.000
Cr 0.000 0.500 0.500
Cr 0.500 0.000 0.500
Ir 0.500 0.500 0.500
Rh 0.500 0.500 0.000

12.
Density functional theory data (GGA-PBE) for a relaxed Pr3NdTm3Se8 crystal.

## Properties
Formation energy from raw total energies = -1.829 eV/atom
Energy = -87.83 eV per cell
D(E_F) = 6.63 states/eV per cell
Space group = R-3m, No. 166

Unit cell a=8.314 b=8.314 c=8.314 alpha=59.31 beta=59.31 gamma=59.31
Atoms (fractional coordinates):
Pr 0.000 0.500 0.500
Pr 0.500 0.000 0.500
Pr 0.500 0.500 0.000
Nd 0.500 0.500 0.500
Tm 0.000 0.000 0.500
Tm 0.000 0.500 0.000
Tm 0.500 0.000 0.000
Se 0.229 0.757 0.757
Se 0.243 0.243 0.243
Se 0.243 0.243 0.771
Se 0.243 0.771 0.243
Se 0.757 0.229 0.757
Se 0.757 0.757 0.229
Se 0.757 0.757 0.757
Se 0.771 0.243 0.243

13.
Density functional theory data (GGA-PBE) for a relaxed Ti3MoP crystal.

## Properties
Energy above the most stable polymorph in this dataset = 0 kJ/mol of formula units
Energy = -166.46 eV per cell
Energy relative to the elements = -1.7 eV/f.u.
D(E_F) = 18.49 states/eV per cell
Space group = C2/c, No. 15

Unit cell a=5.773 b=5.773 c=11.520 alpha=103.33 beta=103.33 gamma=61.91
Atoms (fractional coordinates):
Ti 0.095 0.214 0.810
Ti 0.137 0.774 0.935
Ti 0.177 0.388 0.602
Ti 0.214 0.095 0.310
Ti 0.226 0.863 0.565
Ti 0.388 0.177 0.102
Ti 0.612 0.823 0.898
Ti 0.774 0.137 0.435
Ti 0.786 0.905 0.690
Ti 0.823 0.612 0.398
Ti 0.863 0.226 0.065
Ti 0.905 0.786 0.190
Mo 0.300 0.564 0.355
Mo 0.436 0.700 0.145
Mo 0.564 0.300 0.855
Mo 0.700 0.436 0.645
P 0.000 0.500 0.000
P 0.294 0.706 0.750
P 0.500 0.000 0.500
P 0.706 0.294 0.250

14.
Density functional theory data (GGA-PBE) for a relaxed Nd2ZnCd2 crystal.

## Properties
Energy above the most stable polymorph in this dataset = 17 kJ/mol of formula units
Energy = -13.79 eV per cell
Energy relative to the elements = -1.1 eV/f.u.
D(E_F) = 4.89 states/eV per cell
Space group = Cmmm, No. 65

Unit cell a=8.099 b=8.099 c=3.428 alpha=90.00 beta=90.00 gamma=145.21
Atoms (fractional coordinates):
Nd 0.109 0.891 0.000
Nd 0.891 0.109 0.000
Zn 0.500 0.500 0.500
Cd 0.302 0.698 0.500
Cd 0.698 0.302 0.500

15.
Density functional theory data (GGA-PBE) for a relaxed TiSnTe3 crystal.

## Properties
Energy above the most stable polymorph in this dataset = 51 kJ/mol of formula units
Formation energy from raw total energies = -0.376 eV/atom
Energy = -46.40 eV per cell
D(E_F) = 3.89 states/eV per cell
Space group = C2/m, No. 12

Unit cell a=9.215 b=9.215 c=7.860 alpha=97.43 beta=97.43 gamma=26.05
Atoms (fractional coordinates):
Ti 0.206 0.206 0.238
Ti 0.794 0.794 0.762
Sn 0.450 0.450 0.323
Sn 0.550 0.550 0.677
Te 0.051 0.051 0.215
Te 0.194 0.194 0.603
Te 0.327 0.327 0.011
Te 0.673 0.673 0.989
Te 0.806 0.806 0.397
Te 0.949 0.949 0.785

16.
Density functional theory data (GGA-PBE) for a relaxed NaIn3Cu crystal.

## Properties
Energy above the most stable polymorph in this dataset = 50 kJ/mol of formula units
Energy = -53.50 eV per cell
Energy relative to the elements = 0.3 eV/f.u.
D(E_F) = 7.71 states/eV per cell
Space group = Pnma, No. 62

Unit cell a=6.194 b=8.800 c=9.188 alpha=90.00 beta=90.00 gamma=90.00
Atoms (fractional coordinates):
Na 0.102 0.250 0.012
Na 0.398 0.750 0.512
Na 0.602 0.250 0.488
Na 0.898 0.750 0.988
In 0.104 0.250 0.361
In 0.230 0.568 0.226
In 0.230 0.932 0.226
In 0.270 0.068 0.726
In 0.270 0.432 0.726
In 0.396 0.750 0.861
In 0.604 0.250 0.139
In 0.730 0.568 0.274
In 0.730 0.932 0.274
In 0.770 0.068 0.774
In 0.770 0.432 0.774
In 0.896 0.750 0.639
Cu 0.000 0.000 0.500
Cu 0.000 0.500 0.500
Cu 0.500 0.000 0.000
Cu 0.500 0.500 0.000

17.
Density functional theory data (GGA-PBE) for a relaxed CsK6Na2 crystal.

## Properties
Energy above the most stable polymorph in this dataset = 14 kJ/mol of formula units
Energy = -19.68 eV per cell
Energy relative to the elements = 0.2 eV/f.u.
D(E_F) = 12.09 states/eV per cell
Space group = Immm, No. 71

Unit cell a=11.801 b=11.801 c=11.801 alpha=116.73 beta=109.74 gamma=102.26
Atoms (fractional coordinates):
Cs 0.000 0.000 0.000
Cs 0.500 0.500 0.000
K 0.016 0.243 0.773
K 0.203 0.291 0.494
K 0.203 0.709 0.913
K 0.306 0.018 0.712
K 0.306 0.594 0.288
K 0.470 0.243 0.227
K 0.530 0.757 0.773
K 0.694 0.406 0.712
K 0.694 0.982 0.288
K 0.797 0.291 0.087
K 0.797 0.709 0.506
K 0.984 0.757 0.227
Na 0.114 0.614 0.500
Na 0.367 0.000 0.367
Na 0.633 0.000 0.633
Na 0.886 0.386 0.500

18.
Density functional theory data (GGA-PBE) for a relaxed DyVP2 crystal.

## Properties
Energy = -24.46 eV per cell
Energy relative to the elements = 0.1 eV/f.u.
D(E_F) = 3.89 states/eV per cell
Space group = R-3m, No. 166

Unit cell a=7.877 b=7.877 c=7.877 alpha=30.05 beta=30.05 gamma=30.05
Atoms (fractional coordinates):
Dy 0.000 0.000 0.000
V 0.500 0.500 0.500
P 0.400 0.400 0.400
P 0.600 0.600 0.600

19.
Density functional theory data (GGA-PBE) for a relaxed PaAl2Re crystal.

## Properties
Energy above the most stable polymorph in this dataset = 0 kJ/mol of formula units
Energy = -61.48 eV per cell
Energy relative to the elements = -1.3 eV/f.u.
D(E_F) = 5.67 states/eV per cell
Space group = P2_1/m, No. 11

Unit cell a=4.464 b=6.978 c=5.110 alpha=90.00 beta=108.06 gamma=90.00
Atoms (fractional coordinates):
Pa 0.036 0.250 0.152
Pa 0.964 0.750 0.848
Al 0.402 0.056 0.721
Al 0.402 0.444 0.721
Al 0.598 0.556 0.279
Al 0.598 0.944 0.279
Re 0.137 0.750 0.390
Re 0.863 0.250 0.610

20.
Density functional theory data (GGA-PBE) for a relaxed BeZnRe2 crystal.

## Properties
Energy = -28.36 eV per cell
Energy relative to the elements = 1.5 eV/f.u.
D(E_F) = 3.51 states/eV per cell
Space group = P4/mmm, No. 123

Unit cell a=3.684 b=3.684 c=3.997 alpha=90.00 beta=90.00 gamma=90.00
Atoms (fractional coordinates):
Be 0.000 0.000 0.000
Zn 0.500 0.500 0.000
Re 0.000 0.500 0.500
Re 0.500 0.000 0.500